The following is a GGA-PBE calculation of a relaxed structure of AlSb2TeI, from Alexandria via LeMat-Bulk.

a = 5.7910 Å, b = 5.7910 Å, c = 6.1509 Å
α = 90.00°, β = 90.00°, γ = 90.00°
Positions (direct):
Al 0.5000 0.5000 0.5000
Sb 0.0000 0.5000 0.0000
Sb 0.5000 0.0000 0.0000
I 0.0000 0.0000 0.5000
Te 0.0000 0.0000 0.0000

Summary:
ΔE_f (raw)	0.794	eV/atom
distance to the lowest polymorph of the same formula	0.412	eV/atom
total magnetization	0.15	μB/atom
SG	P4/mmm, No. 123
total energy	-12.71	eV per cell